Compound: Li2Ta2Ga2IrPt
Source: the Open Quantum Materials Database
Functional: GGA-PBE
Structure: relaxed

Values from the calculation:
Space-group type: No. 115

abc: 4.3756 4.3756 6.1726
angles: 90.00 90.00 90.00
Element x y z (fractional)
Li1 0.0000 0.0000 0.0000
Li2 0.5000 0.5000 0.5000
Ta1 0.0000 0.5000 0.2456
Ta2 0.5000 0.0000 0.7544
Ga1 0.0000 0.5000 0.7498
Ga2 0.5000 0.0000 0.2502
Ir1 0.5000 0.5000 0.0000
Pt1 0.0000 0.0000 0.5000

---

Compound: Tb4Nb3Ge
Source: the Open Quantum Materials Database
Functional: GGA-PBE
Structure: relaxed

Values from the calculation:
Space-group type: No. 221

abc: 5.9048 5.9048 5.9048
angles: 90.00 90.00 90.00
Element x y z (fractional)
Tb1 0.0000 0.0000 0.0000
Tb2 0.0000 0.5000 0.5000
Tb3 0.5000 0.0000 0.5000
Tb4 0.5000 0.5000 0.0000
Nb1 0.0000 0.0000 0.5000
Nb2 0.0000 0.5000 0.0000
Nb3 0.5000 0.0000 0.0000
Ge1 0.5000 0.5000 0.5000

---

Compound: LiYCoSn
Source: the Open Quantum Materials Database
Functional: GGA-PBE
Structure: relaxed

Values from the calculation:
Space-group type: No. 216
E above lowest polymorph in meV/atom: 0

abc: 4.6298 4.6298 4.6298
angles: 60.00 60.00 60.00
Element x y z (fractional)
Li1 0.0000 0.0000 0.0000
Y1 0.7500 0.7500 0.7500
Co1 0.5000 0.5000 0.5000
Sn1 0.2500 0.2500 0.2500

---

Compound: PrTmAg2Sn2
Source: the Open Quantum Materials Database
Functional: GGA-PBE
Structure: relaxed

Values from the calculation:
Space-group type: No. 156

abc: 4.7566 4.7566 7.4735
angles: 90.00 90.00 120.00
Element x y z (fractional)
Pr1 0.0000 0.0000 0.0000
Tm1 0.0000 0.0000 0.5020
Ag1 0.3333 0.6667 0.2140
Ag2 0.6667 0.3333 0.6828
Sn1 0.3333 0.6667 0.7721
Sn2 0.6667 0.3333 0.2861

---

Compound: Gd2HoIn3CuNi2
Source: the Open Quantum Materials Database
Functional: GGA-PBE
Structure: relaxed

Values from the calculation:
Space-group type: No. 38

abc: 3.8397 7.4630 7.4630
angles: 120.03 90.00 90.00
Element x y z (fractional)
Gd1 0.0000 0.2064 0.7936
Gd2 0.0000 0.7936 0.2064
Ho1 0.0000 0.3812 0.3812
In1 0.5000 0.0520 0.0520
In2 0.5000 0.5359 0.7929
In3 0.5000 0.7929 0.5359
Cu1 0.0000 0.7932 0.7932
Ni1 0.5000 0.1275 0.4600
Ni2 0.5000 0.4600 0.1275

---

Compound: BeCoSiAu
Source: the Open Quantum Materials Database
Functional: GGA-PBE
Structure: relaxed

Values from the calculation:
Space-group type: No. 216
E above lowest polymorph in meV/atom: 141

abc: 4.1336 4.1336 4.1336
angles: 60.00 60.00 60.00
Element x y z (fractional)
Be1 0.0000 0.0000 0.0000
Co1 0.5000 0.5000 0.5000
Si1 0.2500 0.2500 0.2500
Au1 0.7500 0.7500 0.7500

---

Electronic total energy for every record listed, in sequence, given in eV/atom: -6.508 -5.826 -5.255 -4.410 -4.584 -4.741.
Magnetization for every record listed, in sequence, given in Bohr magnetons per cell: 0.84 0.04 0.88 0.00 0.00 0.03.